Record 1
Compound: Sr2YTl
Source: Alexandria
Functional: meta-GGA SCAN
Structure: single point on PBEsol structure

Properties
ΔH_f (0 K) = -0.2 eV per formula unit
Magnetic moment = 0.7 μB per formula unit
Energy above the most stable polymorph in this dataset = 205 meV/atom
Calculated total energy = -36.231 eV per atom

abc: 3.8331 3.8331 34.6816
angles: 90.00 90.00 120.00
Space group R-3m (No. 166, hexagonal axes)
Asymmetric unit:
Sr 0.0000 0.0000 0.2415 (multiplicity 6)
Y 0.0000 0.0000 0.0000 (multiplicity 3)
Tl 0.0000 0.0000 0.5000 (multiplicity 3)



Record 2
Compound: Nb2SiSb
Source: Alexandria
Functional: meta-GGA SCAN
Structure: single point on PBEsol structure

Properties
Magnetic moment = 0.0 μB per formula unit
Formation energy from raw total energies = -0.049 eV per atom
Calculated total energy = -28.433 eV per atom

abc: 6.531 6.531 6.531
angles: 90.00 90.00 90.00
Space group Fm-3m (No. 225)
Asymmetric unit:
Nb 0.250 0.250 0.250 (multiplicity 8)
Si 0.000 0.000 0.000 (multiplicity 4)
Sb 0.000 0.000 0.500 (multiplicity 4)



Record 3
Compound: Ba2In2Si3SO10
Source: Alexandria
Functional: meta-GGA SCAN
Structure: single point on PBEsol structure

Properties
Magnetic moment = 0.0 μB per formula unit
Formation energy from raw total energies = -2.737 eV per atom
Calculated total energy = -16.508 eV per atom

abc: 23.087 5.316 8.796
angles: 90.00 90.00 90.00
Space group Pca2_1 (No. 29)
Asymmetric unit:
Ba 0.094 0.129 0.000 (multiplicity 4)
Ba 0.225 0.145 0.348 (multiplicity 4)
In 0.065 0.118 0.520 (multiplicity 4)
In 0.151 0.551 0.680 (multiplicity 4)
Si 0.012 0.629 0.743 (multiplicity 4)
Si 0.107 0.623 0.305 (multiplicity 4)
Si 0.204 0.619 0.054 (multiplicity 4)
S 0.154 0.008 0.675 (multiplicity 4)
O 0.012 0.769 0.908 (multiplicity 4)
O 0.014 0.823 0.601 (multiplicity 4)
O 0.050 0.518 0.215 (multiplicity 4)
O 0.064 0.414 0.736 (multiplicity 4)
O 0.108 0.925 0.323 (multiplicity 4)
O 0.116 0.453 0.458 (multiplicity 4)
O 0.161 0.523 0.197 (multiplicity 4)
O 0.178 0.474 0.904 (multiplicity 4)
O 0.203 0.921 0.049 (multiplicity 4)
O 0.235 0.477 0.590 (multiplicity 4)



Record 4
Compound: MnBi3O
Source: Alexandria
Functional: meta-GGA SCAN
Structure: single point on PBEsol structure

Properties
Magnetic moment = 4.3 μB per formula unit
Formation energy from raw total energies = 0.085 eV per atom
Calculated total energy = -51.960 eV per atom

abc: 4.851 4.851 4.851
angles: 90.00 90.00 90.00
Space group Pm-3m (No. 221)
Asymmetric unit:
Mn 0.000 0.000 0.000 (multiplicity 1)
Bi 0.000 0.500 0.500 (multiplicity 3)
O 0.500 0.500 0.500 (multiplicity 1)